A plane-wave DFT calculation with PBE was carried out for a relaxed K2MnIr crystal.

abc: 5.6359 11.0251 2.9593
angles: 90.00 90.00 90.00
Space group Cmmm (No. 65)
Unique sites:
K 0.2500 0.2500 0.0000 x4
Mn 0.0000 0.0000 0.5000 x2
Ir 0.0000 0.5000 0.5000 x2

DOS at the Fermi energy (states/eV/atom): 0.88
Density (kg/m3): 5876
Spin magnetization (μB/f.u.): 4.44
Energy (eV/cell): -32.2
Relative energy among the computed polymorphs (meV per atom): 595.2
Energy of formation (eV/atom): 1.029